Entry from Alexandria: an optimized crystal structure of Np2CrO11 (PBE+U).

Results
**E_tot**: -7.779 eV/atom
**ρ**: 5.28 g/cm³

a = 8.3651 Å, b = 10.2485 Å, c = 10.2953 Å
α = 90.00°, β = 90.00°, γ = 90.00°
Last column: nearest neighbours and their distance in Å.
Space group Ibam (No. 72)
Symmetry-distinct sites (fractional):
Np 0.1823 0.2288 0.0000 (multiplicity 8)  4 O 1.83-2.04
Cr 0.0000 0.0000 0.2500 (multiplicity 4)  4 O 1.78
O 0.0000 0.5000 0.0000 (multiplicity 4)  2 O 1.68
O 0.0574 0.3432 0.5000 (multiplicity 8)  1 O 1.68
O 0.1079 0.1003 0.1391 (multiplicity 16)  1 Cr 1.78
O 0.2476 0.3393 0.1291 (multiplicity 16)  1 Np 1.83